# LaPm2Pb2, optimized geometry, DFT GGA-PBE
data_LaPm2Pb2
_cell_length_a 6.708
_cell_length_b 6.701
_cell_length_c 8.097
_cell_angle_alpha 90.00
_cell_angle_beta 114.24
_cell_angle_gamma 90.00
_space_group_name_H-M_alt 'C 1 2/m 1'
_space_group_IT_number 12
loop_
_space_group_symop_operation_xyz
'x,y,z'
'-x,-y,-z'
'-x,y,-z'
'x,-y,z'
'x+1/2,y+1/2,z'
'-x+1/2,-y+1/2,-z'
'-x+1/2,y+1/2,-z'
'x+1/2,-y+1/2,z'
loop_
_atom_site_label
_atom_site_type_symbol
_atom_site_fract_x
_atom_site_fract_y
_atom_site_fract_z
La1 La 0.000 0.000 0.000
Pm1 Pm 0.000 0.250 0.500
Pb1 Pb 0.102 0.500 0.199
# Raw total energy   -4.738 eV/atom
# N(E_F)   5.18 states/eV/f.u.
# Mass density   8.44 g/cm3
# Offset from the most stable computed form   0.103 eV/atom
# Total magnetic moment   0.0 μB/cell
# Formation enthalpy at 0 K   -0.369 eV per atom